No. 1
DFT (GGA-PBE) results for TbLuMgPb after structural relaxation.

POSCAR file:
```
TbLuMgPb
1.0
7.538 0.000 0.000
0.000 7.538 0.000
0.000 0.000 7.538
Tb Lu Mg Pb
4 4 4 4
Direct
0.000 0.000 0.000
0.000 0.500 0.500
0.500 0.000 0.500
0.500 0.500 0.000
0.000 0.000 0.500
0.000 0.500 0.000
0.500 0.000 0.000
0.500 0.500 0.500
0.250 0.250 0.250
0.250 0.750 0.750
0.750 0.250 0.750
0.750 0.750 0.250
0.250 0.250 0.750
0.250 0.750 0.250
0.750 0.250 0.250
0.750 0.750 0.750
```

Values from the calculation:
The spin magnetization comes out at 0.0000 μB per atom. The value obtained for the total energy is -61.56 eV for the cell shown. Its formation energy is -0.2342 eV per atom. The calculation puts the density of states at the Fermi level at 1.025 states/eV/atom.

No. 2
DFT (GGA-PBE) results for TbCe5In6 after structural relaxation.

POSCAR file:
```
TbCe5In6
1.0
8.085 -3.551 0.000
8.085 3.551 0.000
-0.050 0.000 5.709
Tb Ce In
1 5 6
Direct
0.000 0.000 0.000
0.176 0.176 0.655
0.336 0.336 0.339
0.500 0.500 0.000
0.664 0.664 0.661
0.824 0.824 0.345
0.076 0.593 0.841
0.234 0.766 0.500
0.407 0.924 0.159
0.593 0.076 0.841
0.766 0.234 0.500
0.924 0.407 0.159
```

Values from the calculation:
The spin magnetization comes out at 0.4630 μB per atom. The value obtained for the total energy is -55.30 eV for the cell shown. Its formation energy is -0.3804 eV per atom. The calculation puts the density of states at the Fermi level at 2.474 states/eV/atom.

No. 3
DFT (GGA-PBE) results for LiMgNb after structural relaxation.

POSCAR file:
```
LiMgNb
1.0
6.743 0.000 0.000
0.000 3.250 0.000
0.000 0.000 10.489
Li Mg Nb
4 4 4
Direct
0.107 0.250 0.085
0.393 0.750 0.585
0.607 0.250 0.415
0.893 0.750 0.915
0.149 0.250 0.750
0.351 0.750 0.250
0.649 0.250 0.750
0.851 0.750 0.250
0.099 0.250 0.432
0.401 0.750 0.932
0.599 0.250 0.068
0.901 0.750 0.568
```

Values from the calculation:
The spin magnetization comes out at 0.0000 μB per atom. The value obtained for the total energy is -51.14 eV for the cell shown. Its formation energy is 0.2645 eV per atom. The calculation puts the density of states at the Fermi level at 0.491 states/eV/atom. The energy above the most stable polymorph in this dataset is 99.7 meV per atom.

No. 4
DFT (GGA-PBE) results for K4AuO2 after structural relaxation.

POSCAR file:
```
K4AuO2
1.0
2.099 -6.474 0.000
2.099 6.474 0.000
0.000 0.000 14.174
K Au O
8 2 4
Direct
0.000 0.000 0.000
0.000 0.000 0.500
0.257 0.743 0.594
0.257 0.743 0.906
0.431 0.569 0.250
0.569 0.431 0.750
0.743 0.257 0.094
0.743 0.257 0.406
0.132 0.868 0.250
0.868 0.132 0.750
0.371 0.629 0.067
0.371 0.629 0.433
0.629 0.371 0.567
0.629 0.371 0.933
```

Values from the calculation:
The spin magnetization comes out at 0.1433 μB per atom. The value obtained for the total energy is -45.58 eV for the cell shown. The calculation puts the density of states at the Fermi level at 0.718 states/eV/atom.

No. 5
DFT (GGA-PBE) results for NiHSe2 after structural relaxation.

POSCAR file:
```
NiHSe2
1.0
6.634 0.000 0.000
0.000 4.877 0.000
0.000 0.000 7.913
Ni H Se
4 4 8
Direct
0.118 0.250 0.158
0.382 0.750 0.658
0.618 0.250 0.342
0.882 0.750 0.842
0.131 0.250 0.788
0.369 0.750 0.288
0.631 0.250 0.712
0.869 0.750 0.212
0.037 0.750 0.580
0.064 0.750 0.115
0.436 0.250 0.615
0.463 0.250 0.080
0.537 0.750 0.920
0.564 0.750 0.385
0.936 0.250 0.885
0.963 0.250 0.420
```

Values from the calculation:
The spin magnetization comes out at 0.0000 μB per atom. The value obtained for the total energy is -64.95 eV for the cell shown. The calculation puts the density of states at the Fermi level at 0.439 states/eV/atom. The energy above the most stable polymorph in this dataset is 99.2 meV per atom.

No. 6
DFT (GGA-PBE) results for Cd2In2Se after structural relaxation.

POSCAR file:
```
Cd2In2Se
1.0
7.577 0.000 0.000
0.000 7.577 0.000
0.000 0.000 4.614
Cd In Se
4 4 2
Direct
0.136 0.364 0.000
0.364 0.864 0.000
0.636 0.136 0.000
0.864 0.636 0.000
0.169 0.669 0.500
0.331 0.169 0.500
0.669 0.831 0.500
0.831 0.331 0.500
0.000 0.000 0.000
0.500 0.500 0.000
```

Values from the calculation:
The spin magnetization comes out at 0.0000 μB per atom. The value obtained for the total energy is -21.89 eV for the cell shown. The calculation puts the density of states at the Fermi level at 0.442 states/eV/atom. The energy above the most stable polymorph in this dataset is 0.0 meV per atom.

No. 7
DFT (GGA-PBE) results for BaAlW2 after structural relaxation.

POSCAR file:
```
BaAlW2
1.0
5.949 0.000 0.000
0.000 9.947 0.000
0.000 0.000 2.818
Ba Al W
2 2 4
Direct
0.000 0.000 0.000
0.500 0.500 0.000
0.000 0.500 0.000
0.500 0.000 0.000
0.250 0.250 0.500
0.250 0.750 0.500
0.750 0.250 0.500
0.750 0.750 0.500
```

Values from the calculation:
The spin magnetization comes out at 0.0000 μB per atom. The value obtained for the total energy is -51.63 eV for the cell shown. Its formation energy is 1.4393 eV per atom. The calculation puts the density of states at the Fermi level at 1.061 states/eV/atom.

No. 8
DFT (GGA-PBE) results for Pm6Te3Rh2Se after structural relaxation.

POSCAR file:
```
Pm6Te3Rh2Se
1.0
9.602 -2.111 0.000
9.602 2.111 0.000
-2.535 0.000 8.559
Pm Te Rh Se
6 3 2 1
Direct
0.015 0.015 0.247
0.324 0.324 0.434
0.332 0.332 0.877
0.668 0.668 0.123
0.676 0.676 0.566
0.985 0.985 0.753
0.160 0.160 0.842
0.500 0.500 0.500
0.840 0.840 0.158
0.169 0.169 0.340
0.831 0.831 0.660
0.500 0.500 0.000
```

Values from the calculation:
The spin magnetization comes out at 0.0000 μB per atom. The value obtained for the total energy is -71.09 eV for the cell shown. The calculation puts the density of states at the Fermi level at 0.441 states/eV/atom.

No. 9
DFT (GGA-PBE) results for La2GaPt3 after structural relaxation.

POSCAR file:
```
La2GaPt3
1.0
0.000 4.558 7.665
3.945 0.000 7.665
3.945 4.558 0.000
La Ga Pt
4 2 6
Direct
0.244 0.756 0.756
0.250 0.250 0.250
0.750 0.750 0.750
0.756 0.244 0.244
0.332 0.332 0.668
0.668 0.668 0.332
0.169 0.169 0.831
0.175 0.650 0.350
0.350 0.825 0.175
0.650 0.175 0.825
0.825 0.350 0.650
0.831 0.831 0.169
```

Values from the calculation:
The spin magnetization comes out at 0.0000 μB per atom. The value obtained for the total energy is -74.69 eV for the cell shown. Its formation energy is -1.0571 eV per atom. The calculation puts the density of states at the Fermi level at 0.573 states/eV/atom.

No. 10
DFT (GGA-PBE) results for Tm2AgAu3 after structural relaxation.

POSCAR file:
```
Tm2AgAu3
1.0
4.744 0.000 0.000
0.000 3.774 0.000
-2.356 0.000 7.060
Tm Ag Au
2 1 3
Direct
0.158 0.000 0.315
0.842 0.000 0.685
0.500 0.000 0.000
0.000 0.500 0.000
0.325 0.500 0.648
0.675 0.500 0.352
```

Values from the calculation:
The spin magnetization comes out at 0.0000 μB per atom. The value obtained for the total energy is -25.43 eV for the cell shown. Its formation energy is -0.6333 eV per atom. The calculation puts the density of states at the Fermi level at 0.534 states/eV/atom. The energy above the most stable polymorph in this dataset is 71.3 meV per atom.

No. 11
DFT (GGA-PBE) results for In6PdPt10 after structural relaxation.

POSCAR file:
```
In6PdPt10
1.0
4.479 -6.155 0.000
4.479 6.155 0.000
-1.572 0.000 5.480
In Pd Pt
6 1 10
Direct
0.013 0.695 0.706
0.305 0.987 0.294
0.345 0.345 0.688
0.655 0.655 0.312
0.695 0.013 0.706
0.987 0.305 0.294
0.000 0.000 0.500
0.007 0.342 0.815
0.324 0.324 0.175
0.332 0.668 0.000
0.332 0.668 0.500
0.342 0.007 0.815
0.658 0.993 0.185
0.668 0.332 0.000
0.668 0.332 0.500
0.676 0.676 0.825
0.993 0.658 0.185
```

Values from the calculation:
The spin magnetization comes out at 0.0000 μB per atom. The value obtained for the total energy is -89.09 eV for the cell shown. Its formation energy is -0.4153 eV per atom. The calculation puts the density of states at the Fermi level at 0.304 states/eV/atom.

No. 12
DFT (GGA-PBE) results for LaPmTcHg after structural relaxation.

POSCAR file:
```
LaPmTcHg
1.0
7.386 0.000 0.000
0.000 7.386 0.000
0.000 0.000 7.386
La Pm Tc Hg
4 4 4 4
Direct
0.000 0.000 0.000
0.000 0.500 0.500
0.500 0.000 0.500
0.500 0.500 0.000
0.000 0.000 0.500
0.000 0.500 0.000
0.500 0.000 0.000
0.500 0.500 0.500
0.250 0.250 0.250
0.250 0.750 0.750
0.750 0.250 0.750
0.750 0.750 0.250
0.250 0.250 0.750
0.250 0.750 0.250
0.750 0.250 0.250
0.750 0.750 0.750
```

Values from the calculation:
The spin magnetization comes out at 0.0000 μB per atom. The value obtained for the total energy is -82.21 eV for the cell shown. Its formation energy is -0.0518 eV per atom. The calculation puts the density of states at the Fermi level at 0.650 states/eV/atom.